Entry 1:
DFT (GGA-PBE) results for crystalline HfCoOs2Cl at its relaxed geometry.

Results
Size of the total moment in μB/cell: 1.9
Electronic total energy in eV per atom: -6.958
Energy relative to the elements, uncorrected in eV per atom: 1.3156

a = 4.3243 Å, b = 4.3243 Å, c = 4.5723 Å
α = 90.00°, β = 90.00°, γ = 90.00°
Element x y z (fractional)
Hf1 0.0000 0.0000 0.0000
Co1 0.5000 0.5000 0.0000
Os1 0.0000 0.5000 0.5000
Os2 0.5000 0.0000 0.5000
Cl1 0.0000 0.0000 0.5000



Entry 2:
DFT (GGA-PBE) results for crystalline HfCoPCl2 at its relaxed geometry.

Results
Size of the total moment in μB/cell: 2.2
Electronic total energy in eV per atom: -5.217
Energy relative to the elements, uncorrected in eV per atom: 0.0154

a = 4.8594 Å, b = 4.8594 Å, c = 5.1847 Å
α = 90.00°, β = 90.00°, γ = 90.00°
Element x y z (fractional)
Hf1 0.0000 0.0000 0.0000
Co1 0.5000 0.5000 0.5000
P1 0.0000 0.0000 0.5000
Cl1 0.0000 0.5000 0.0000
Cl2 0.5000 0.0000 0.0000



Entry 3:
DFT (GGA-PBE) results for crystalline HfCoPCl2 at its relaxed geometry.

Results
Size of the total moment in μB/cell: 0.1
Electronic total energy in eV per atom: -5.101
Energy relative to the elements, uncorrected in eV per atom: 0.1313

a = 4.3169 Å, b = 4.3169 Å, c = 4.7833 Å
α = 90.00°, β = 90.00°, γ = 90.00°
Element x y z (fractional)
Hf1 0.0000 0.0000 0.0000
Co1 0.5000 0.5000 0.5000
P1 0.5000 0.5000 0.0000
Cl1 0.0000 0.5000 0.5000
Cl2 0.5000 0.0000 0.5000



Entry 4:
DFT (GGA-PBE) results for crystalline HfCoPbCl2 at its relaxed geometry.

Results
Size of the total moment in μB/cell: 2.5
Electronic total energy in eV per atom: -4.793
Energy relative to the elements, uncorrected in eV per atom: 0.0987

a = 4.7901 Å, b = 4.7901 Å, c = 6.1070 Å
α = 90.00°, β = 90.00°, γ = 90.00°
Element x y z (fractional)
Hf1 0.0000 0.0000 0.0000
Co1 0.5000 0.5000 0.5000
Pb1 0.0000 0.0000 0.5000
Cl1 0.0000 0.5000 0.0000
Cl2 0.5000 0.0000 0.0000



> The highest electronic total energy belongs to which entry?

HfCoPbCl2



> Which value of electronic total energy does entry 2 give?

-5.217 eV per atom



> Which value of energy relative to the elements, uncorrected does entry 2 give?

0.0154 eV per atom